Computed, not measured: crystalline BiSbTe2Cl at its relaxed geometry at the PBE level of DFT.

Computed properties:
raw formation energy = 0.63 eV per atom

abc: 5.517 5.517 5.239
angles: 90.00 90.00 90.00
Positions (direct):
Sb 0.000 0.000 0.500
Bi 0.500 0.500 0.500
Cl 0.000 0.000 0.000
Te 0.500 0.000 0.000
Te 0.000 0.500 0.000